This record from the Open Quantum Materials Database describes Ho2Sc2CBr2Cl3 after structural relaxation. The functional is GGA-PBE.

abc: 8.8444 8.8444 7.7386
angles: 102.31 102.31 23.81
With the nearest neighbours (Å) after each atom.
Fractional coordinates of all 10 atoms:
Ho 0.0000 0.0000 0.2107  2 C 2.45, 1 Cl 2.71
Ho 0.0000 0.0000 0.7893  2 C 2.45, 1 Cl 2.71
Sc 0.3674 0.3674 0.9302  1 C 2.24
Sc 0.6326 0.6326 0.0698  1 C 2.24
C 0.5000 0.5000 0.0000  2 Sc 2.24, 4 Ho 2.45
Br 0.1707 0.1707 0.8347  2 Sc 2.76, 1 Ho 2.90
Br 0.8293 0.8293 0.1653  2 Sc 2.76, 1 Ho 2.90
Cl 0.1603 0.1603 0.3128  2 Sc 2.59, 1 Ho 2.71
Cl 0.5000 0.5000 0.5000  4 Ho 2.89
Cl 0.8397 0.8397 0.6872  2 Sc 2.59, 1 Ho 2.71



This record from the Open Quantum Materials Database describes PrSmCuSe3 after structural relaxation. The functional is GGA-PBE.

abc: 6.9656 6.9656 11.0714
angles: 90.00 90.00 146.77
With the nearest neighbours (Å) after each atom.
Fractional coordinates of all 12 atoms:
Pr 0.0000 0.0000 0.0000  6 Se 2.98-3.02
Pr 0.0000 0.0000 0.5000  6 Se 2.98-3.02
Sm 0.2352 0.7648 0.7500  6 Se 2.94-3.07
Sm 0.7648 0.2352 0.2500  6 Se 2.94-3.07
Cu 0.4715 0.5285 0.2500  4 Se 2.47-2.54
Cu 0.5285 0.4715 0.7500  4 Se 2.47-2.54
Se 0.0900 0.9100 0.2500  2 Cu 2.54
Se 0.3488 0.6512 0.0827  1 Cu 2.47
Se 0.3488 0.6512 0.4173  1 Cu 2.47
Se 0.6512 0.3488 0.5827  1 Cu 2.47
Se 0.6512 0.3488 0.9173  1 Cu 2.47
Se 0.9100 0.0900 0.7500  2 Cu 2.54



This record from the Open Quantum Materials Database describes CsLuRe after structural relaxation. The functional is GGA-PBE.

abc: 5.0707 5.0707 5.0707
angles: 60.00 60.00 60.00
With the nearest neighbours (Å) after each atom.
Fractional coordinates of all 3 atoms:
Cs 0.0000 0.0000 0.0000  4 Lu 3.11
Lu 0.2500 0.2500 0.2500  4 Re 3.11, 4 Cs 3.11
Re 0.5000 0.5000 0.5000  4 Lu 3.11



| no. | final energy (eV per atom) |
| --- | --- |
| 1 | -5.5764 |
| 2 | -5.3487 |
| 3 | -3.9037 |